(1)
First-principles (PBE-GGA) data for a relaxed Tb4TlSe2 crystal, as listed in the Alexandria database.

Offset from the most stable computed form, meV/atom: 0

Geometry as POSCAR:
```
Tb4TlSe2
1.0
-1.588 3.096 2.130
4.046 -3.681 4.459
10.991 7.971 -3.393
Tb Se Tl
8 4 2
direct
0.931 0.861 0.750
0.500 0.000 0.000
0.230 0.461 0.878
0.069 0.139 0.250
0.770 0.539 0.378
0.230 0.461 0.622
0.770 0.539 0.122
0.500 0.000 0.500
0.864 0.728 0.941
0.136 0.272 0.059
0.136 0.272 0.441
0.864 0.728 0.559
0.395 0.789 0.250
0.605 0.211 0.750
```



(2)
First-principles (PBE-GGA) data for a relaxed Tb12Tl3Se5 crystal, as listed in the Alexandria database.

Geometry as POSCAR:
```
Tb12Tl3Se5
1.0
14.918 0.000 0.000
-4.973 14.065 0.000
-4.973 -7.032 12.181
Se Tb Tl
20 48 12
direct
0.125 0.750 0.375
0.000 0.500 0.000
0.875 0.250 0.625
0.750 0.625 0.375
0.500 0.000 0.500
0.250 0.875 0.125
0.250 0.375 0.625
0.500 0.500 0.500
0.375 0.125 0.750
0.875 0.625 0.750
0.500 0.000 0.000
0.750 0.125 0.875
0.625 0.875 0.250
0.000 0.000 0.500
0.625 0.750 0.875
0.500 0.500 0.000
0.000 0.500 0.500
0.125 0.375 0.250
0.375 0.250 0.125
0.000 0.000 0.000
0.411 0.283 0.328
0.128 0.717 0.545
0.455 0.783 0.872
0.128 0.411 0.083
0.328 0.545 0.417
0.417 0.372 0.589
0.172 0.089 0.717
0.083 0.172 0.455
0.545 0.217 0.128
0.583 0.628 0.411
0.783 0.328 0.911
0.283 0.872 0.955
0.283 0.411 0.828
0.872 0.283 0.455
0.917 0.828 0.545
0.955 0.583 0.172
0.783 0.455 0.372
0.717 0.128 0.045
0.455 0.672 0.083
0.372 0.417 0.089
0.717 0.589 0.172
0.828 0.917 0.045
0.828 0.911 0.283
0.672 0.455 0.583
0.955 0.372 0.283
0.589 0.717 0.672
0.217 0.672 0.089
0.172 0.083 0.955
0.911 0.083 0.628
0.545 0.328 0.917
0.045 0.628 0.717
0.217 0.545 0.628
0.583 0.955 0.672
0.911 0.828 0.783
0.417 0.045 0.328
0.411 0.128 0.583
0.083 0.911 0.128
0.372 0.955 0.783
0.589 0.872 0.417
0.328 0.783 0.411
0.628 0.045 0.217
0.917 0.089 0.872
0.872 0.589 0.917
0.672 0.217 0.589
0.045 0.417 0.828
0.628 0.583 0.911
0.089 0.172 0.217
0.089 0.917 0.372
0.625 0.375 0.750
0.750 0.375 0.125
0.125 0.875 0.750
0.875 0.750 0.125
0.875 0.125 0.250
0.625 0.250 0.375
0.250 0.625 0.875
0.125 0.250 0.875
0.750 0.875 0.625
0.375 0.625 0.250
0.250 0.125 0.375
0.375 0.750 0.625
```



(3)
First-principles (PBE-GGA) data for a relaxed Tb3Tl2Se6 crystal, as listed in the Alexandria database.

Geometry as POSCAR:
```
Tb3Tl2Se6
1.0
6.947 0.000 2.063
3.474 6.272 1.031
0.157 0.000 7.913
Se Tl Tb
6 2 3
direct
0.597 0.336 0.210
0.403 0.664 0.790
0.261 0.000 0.209
0.933 0.664 0.210
0.739 0.000 0.791
0.067 0.336 0.790
0.167 0.666 0.500
0.833 0.334 0.500
0.667 0.667 0.000
0.333 0.333 0.000
0.000 0.000 0.000
```



(4)
First-principles (PBE-GGA) data for a relaxed Tb3TlSe6 crystal, as listed in the Alexandria database.

Geometry as POSCAR:
```
Tb3TlSe6
1.0
6.966 0.000 0.000
0.000 9.027 0.012
0.000 -2.003 8.802
Se Tb Tl
12 6 2
direct
0.687 0.970 0.030
0.182 0.372 0.302
0.682 0.628 0.698
0.187 0.030 0.970
0.725 0.549 0.098
0.182 0.698 0.628
0.225 0.451 0.902
0.725 0.902 0.451
0.225 0.098 0.549
0.125 0.777 0.223
0.625 0.223 0.777
0.682 0.302 0.372
0.985 0.089 0.282
0.886 0.592 0.408
0.985 0.718 0.911
0.485 0.282 0.089
0.485 0.911 0.718
0.386 0.408 0.592
0.003 0.203 0.797
0.503 0.797 0.203
```



(5)
First-principles (PBE-GGA) data for a relaxed Tb6TlSe8 crystal, as listed in the Alexandria database.

Geometry as POSCAR:
```
Tb6TlSe8
1.0
-7.506 -2.921 0.969
2.620 -2.963 7.083
-1.863 7.246 3.136
Se Tl Tb
8 1 6
direct
0.244 0.244 0.244
0.412 0.145 0.691
0.309 0.588 0.855
0.855 0.309 0.588
0.691 0.412 0.145
0.145 0.691 0.412
0.756 0.756 0.756
0.588 0.855 0.309
0.000 0.000 0.000
0.565 0.196 0.379
0.379 0.565 0.196
0.435 0.804 0.621
0.621 0.435 0.804
0.804 0.621 0.435
0.196 0.379 0.565
```



(6)
First-principles (PBE-GGA) data for a relaxed Tb2TlSe crystal, as listed in the Alexandria database.

Offset from the most stable computed form, meV/atom: 49

Geometry as POSCAR:
```
Tb2TlSe
1.0
3.910 0.000 0.000
1.955 3.386 0.000
1.955 1.129 8.284
Se Tb Tl
1 2 1
direct
0.667 0.667 0.998
0.070 0.070 0.789
0.263 0.263 0.212
0.500 0.500 0.501
```



(7)
First-principles (PBE-GGA) data for a relaxed Tb5TlSe4 crystal, as listed in the Alexandria database.

Geometry as POSCAR:
```
Tb5TlSe4
1.0
1.946 -0.170 5.555
-2.319 -5.717 3.758
6.258 -3.514 0.821
Tb Se Tl
5 4 1
direct
0.900 0.406 0.795
0.695 0.205 0.406
0.501 0.000 0.000
0.307 0.795 0.594
0.102 0.594 0.205
0.400 0.402 0.801
0.602 0.598 0.199
0.201 0.199 0.402
0.801 0.801 0.598
0.001 0.000 0.000
```



(8)
First-principles (PBE-GGA) data for a relaxed Tb2TlSe crystal, as listed in the Alexandria database.

Offset from the most stable computed form, meV/atom: 173

Geometry as POSCAR:
```
Tb2TlSe
1.0
-0.843 0.208 3.419
-3.261 -1.126 -0.735
2.403 -7.650 1.058
Tl Tb Se
1 2 1
direct
0.500 0.500 0.500
0.000 0.000 0.227
0.000 0.000 0.773
0.500 0.500 0.000
```



| no. | ΔE_f (raw) (meV/atom) |
| --- | --- |
| 1 | -1138 |
| 2 | -695 |
| 3 | -1393 |
| 4 | -1433 |
| 5 | -1550 |
| 6 | -1013 |
| 7 | -1495 |
| 8 | -889 |